Record 1
The following is a PBE calculation of a relaxed SrY2HI crystal, from the Alexandria database.

Cell lengths 4.7337, 4.7337, 6.6517 Å; angles 90.00, 90.00, 90.00 degrees
Atoms (fractional coordinates):
Sr: 0.0000 0.0000 0.0000
Y: 0.0000 0.5000 0.5000
Y: 0.5000 0.0000 0.5000
H: 0.5000 0.5000 0.5000
I: 0.5000 0.5000 0.0000

***

Record 2
The following is a PBE calculation of a relaxed Sr2YHI crystal, from the Alexandria database.

Cell lengths 6.4331, 6.4331, 5.6480 Å; angles 90.00, 90.00, 90.00 degrees
Atoms (fractional coordinates):
Sr: 0.0000 0.5000 0.0000
Sr: 0.5000 0.0000 0.0000
Y: 0.0000 0.0000 0.5000
H: 0.5000 0.5000 0.5000
I: 0.0000 0.0000 0.0000

***

Record 3
The following is a PBE calculation of a relaxed Sr2ZrHI crystal, from the Alexandria database.

Cell lengths 6.3773, 6.3773, 5.4789 Å; angles 90.00, 90.00, 90.00 degrees
Atoms (fractional coordinates):
Sr: 0.0000 0.5000 0.0000
Sr: 0.5000 0.0000 0.0000
Zr: 0.0000 0.0000 0.0000
H: 0.5000 0.5000 0.5000
I: 0.0000 0.0000 0.5000

***

Record 4
The following is a PBE calculation of a relaxed SrZr2HI crystal, from the Alexandria database.

Cell lengths 4.4128, 4.4128, 6.2832 Å; angles 90.00, 90.00, 90.00 degrees
Atoms (fractional coordinates):
Sr: 0.0000 0.0000 0.0000
Zr: 0.0000 0.5000 0.5000
Zr: 0.5000 0.0000 0.5000
H: 0.5000 0.5000 0.5000
I: 0.5000 0.5000 0.0000

***

Record 5
The following is a PBE calculation of a relaxed Ta2HI crystal, from the Alexandria database.

Cell lengths 5.2072, 5.2072, 10.5929 Å; angles 90.00, 90.00, 90.00 degrees
Atoms (fractional coordinates):
Ta: 0.0800 0.2500 0.1250
Ta: 0.2500 0.5800 0.3750
Ta: 0.2500 0.9200 0.8750
Ta: 0.4200 0.2500 0.6250
Ta: 0.5800 0.7500 0.6250
Ta: 0.7500 0.0800 0.8750
Ta: 0.7500 0.4200 0.3750
Ta: 0.9200 0.7500 0.1250
H: 0.0000 0.0000 0.0000
H: 0.0000 0.5000 0.2500
H: 0.5000 0.0000 0.7500
H: 0.5000 0.5000 0.5000
I: 0.0000 0.0000 0.5000
I: 0.0000 0.5000 0.7500
I: 0.5000 0.0000 0.2500
I: 0.5000 0.5000 0.0000

***

Record 6
The following is a PBE calculation of a relaxed TaH3I6 crystal, from the Alexandria database.

Cell lengths 6.8166, 7.6112, 8.0604 Å; angles 65.33, 77.10, 67.46 degrees
Atoms (fractional coordinates):
Ta: 0.0000 0.0000 0.0000
H: 0.0000 0.5000 0.0000
H: 0.4646 0.2257 0.7764
H: 0.5354 0.7743 0.2236
I: 0.0459 0.2284 0.1839
I: 0.2758 0.1474 0.6977
I: 0.3469 0.6644 0.1782
I: 0.6531 0.3356 0.8218
I: 0.7242 0.8526 0.3023
I: 0.9541 0.7716 0.8161

***

Record 7
The following is a PBE calculation of a relaxed TaH2I crystal, from the Alexandria database.

Cell lengths 5.9339, 5.9339, 5.9339 Å; angles 90.00, 90.00, 90.00 degrees
Atoms (fractional coordinates):
Ta: 0.0000 0.0000 0.0000
Ta: 0.0000 0.5000 0.5000
Ta: 0.5000 0.0000 0.5000
Ta: 0.5000 0.5000 0.0000
H: 0.2500 0.2500 0.2500
H: 0.2500 0.2500 0.7500
H: 0.2500 0.7500 0.2500
H: 0.2500 0.7500 0.7500
H: 0.7500 0.2500 0.2500
H: 0.7500 0.2500 0.7500
H: 0.7500 0.7500 0.2500
H: 0.7500 0.7500 0.7500
I: 0.0000 0.0000 0.5000
I: 0.0000 0.5000 0.0000
I: 0.5000 0.0000 0.0000
I: 0.5000 0.5000 0.5000

***

Record 8
The following is a PBE calculation of a relaxed TaH3I crystal, from the Alexandria database.

Cell lengths 3.8783, 3.8783, 3.8783 Å; angles 90.00, 90.00, 90.00 degrees
Atoms (fractional coordinates):
Ta: 0.0000 0.0000 0.0000
H: 0.0000 0.0000 0.5000
H: 0.0000 0.5000 0.0000
H: 0.5000 0.0000 0.0000
I: 0.5000 0.5000 0.5000

***

Record 9
The following is a PBE calculation of a relaxed Ta2HI crystal, from the Alexandria database.

Cell lengths 6.4402, 6.4402, 6.4402 Å; angles 90.00, 90.00, 90.00 degrees
Atoms (fractional coordinates):
Ta: 0.2500 0.2500 0.2500
Ta: 0.2500 0.2500 0.7500
Ta: 0.2500 0.7500 0.2500
Ta: 0.2500 0.7500 0.7500
Ta: 0.7500 0.2500 0.2500
Ta: 0.7500 0.2500 0.7500
Ta: 0.7500 0.7500 0.2500
Ta: 0.7500 0.7500 0.7500
H: 0.0000 0.0000 0.0000
H: 0.0000 0.5000 0.5000
H: 0.5000 0.0000 0.5000
H: 0.5000 0.5000 0.0000
I: 0.0000 0.0000 0.5000
I: 0.0000 0.5000 0.0000
I: 0.5000 0.0000 0.0000
I: 0.5000 0.5000 0.5000

***

Record 10
The following is a PBE calculation of a relaxed TaH2I5 crystal, from the Alexandria database.

Cell lengths 7.8957, 7.9033, 7.9071 Å; angles 75.44, 60.05, 60.08 degrees
Atoms (fractional coordinates):
Ta: 0.0000 0.0000 0.0000
H: 0.1774 0.5002 0.5021
H: 0.6794 0.5005 0.4981
I: 0.1100 0.0013 0.6168
I: 0.1138 0.6158 0.0000
I: 0.3301 0.0003 0.0000
I: 0.7280 0.9990 0.3832
I: 0.7295 0.3841 0.0001

***

Record 11
The following is a PBE calculation of a relaxed TaH2I6 crystal, from the Alexandria database.

Cell lengths 11.1834, 11.1834, 6.5276 Å; angles 103.24, 103.24, 75.72 degrees
Atoms (fractional coordinates):
Ta: 0.9999 0.0001 0.2500
Ta: 0.0001 0.9999 0.7500
H: 0.3508 0.3871 0.6704
H: 0.3871 0.3508 0.1704
H: 0.6129 0.6492 0.8296
H: 0.6492 0.6129 0.3296
I: 0.0652 0.2027 0.6055
I: 0.1086 0.7795 0.9570
I: 0.2027 0.0652 0.1055
I: 0.2205 0.8914 0.5430
I: 0.2669 0.4719 0.4888
I: 0.4719 0.2669 0.9888
I: 0.5281 0.7331 0.0112
I: 0.7331 0.5281 0.5112
I: 0.7795 0.1086 0.4570
I: 0.7973 0.9348 0.8945
I: 0.8914 0.2205 0.0430
I: 0.9348 0.7973 0.3945

***

Record 12
The following is a PBE calculation of a relaxed TaHI6 crystal, from the Alexandria database.

Cell lengths 7.3167, 7.5247, 8.0040 Å; angles 92.71, 114.70, 118.68 degrees
Atoms (fractional coordinates):
Ta: 0.0000 0.0000 0.0000
H: 0.5000 0.0000 0.0000
I: 0.1345 0.2174 0.7669
I: 0.1570 0.3689 0.2450
I: 0.4694 0.0719 0.2160
I: 0.5306 0.9281 0.7840
I: 0.8430 0.6311 0.7550
I: 0.8655 0.7826 0.2331

***

Record 13
The following is a PBE calculation of a relaxed TaH3I crystal, from the Alexandria database.

Cell lengths 3.8832, 3.8832, 3.8832 Å; angles 90.00, 90.00, 90.00 degrees
Atoms (fractional coordinates):
Ta: 0.0000 0.0000 0.0000
H: 0.0000 0.5000 0.5000
H: 0.5000 0.0000 0.5000
H: 0.5000 0.5000 0.0000
I: 0.5000 0.5000 0.5000

***

Record 14
The following is a PBE calculation of a relaxed TaH2I crystal, from the Alexandria database.

Cell lengths 5.9845, 5.9845, 6.2156 Å; angles 90.00, 90.00, 90.00 degrees
Atoms (fractional coordinates):
Ta: 0.0000 0.0000 0.0000
Ta: 0.0000 0.5000 0.2500
Ta: 0.5000 0.0000 0.7500
Ta: 0.5000 0.5000 0.5000
H: 0.1280 0.2500 0.1250
H: 0.2500 0.6280 0.3750
H: 0.2500 0.8720 0.8750
H: 0.3720 0.2500 0.6250
H: 0.6280 0.7500 0.6250
H: 0.7500 0.1280 0.8750
H: 0.7500 0.3720 0.3750
H: 0.8720 0.7500 0.1250
I: 0.0000 0.0000 0.5000
I: 0.0000 0.5000 0.7500
I: 0.5000 0.0000 0.2500
I: 0.5000 0.5000 0.0000

***

Record 15
The following is a PBE calculation of a relaxed TaHI6 crystal, from the Alexandria database.

Cell lengths 7.6779, 13.0977, 7.3143 Å; angles 90.00, 112.21, 90.00 degrees
Atoms (fractional coordinates):
Ta: 0.0000 0.0000 0.0000
Ta: 0.5000 0.5000 0.0000
H: 0.0000 0.0000 0.5000
H: 0.5000 0.5000 0.5000
I: 0.2100 0.0000 0.7480
I: 0.2330 0.1468 0.2271
I: 0.2330 0.8532 0.2271
I: 0.2670 0.3532 0.7729
I: 0.2670 0.6468 0.7729
I: 0.2900 0.5000 0.2520
I: 0.7100 0.5000 0.7480
I: 0.7330 0.3532 0.2271
I: 0.7330 0.6468 0.2271
I: 0.7670 0.1468 0.7729
I: 0.7670 0.8532 0.7729
I: 0.7900 0.0000 0.2520

***

Record 16
The following is a PBE calculation of a relaxed Ta3HI crystal, from the Alexandria database.

Cell lengths 4.3134, 4.3134, 4.3134 Å; angles 90.00, 90.00, 90.00 degrees
Atoms (fractional coordinates):
Ta: 0.0000 0.0000 0.5000
Ta: 0.0000 0.5000 0.0000
Ta: 0.5000 0.0000 0.0000
H: 0.0000 0.0000 0.0000
I: 0.5000 0.5000 0.5000

***

Record 17
The following is a PBE calculation of a relaxed TaHI3 crystal, from the Alexandria database.

Cell lengths 5.5763, 5.5763, 5.5763 Å; angles 90.00, 90.00, 90.00 degrees
Atoms (fractional coordinates):
Ta: 0.0000 0.0000 0.0000
H: 0.5000 0.5000 0.5000
I: 0.0000 0.0000 0.5000
I: 0.0000 0.5000 0.0000
I: 0.5000 0.0000 0.0000

***

Record 18
The following is a PBE calculation of a relaxed TaH4I crystal, from the Alexandria database.

Cell lengths 3.0813, 3.0813, 8.8468 Å; angles 90.00, 90.00, 90.00 degrees
Atoms (fractional coordinates):
Ta: 0.0000 0.0000 0.0000
H: 0.0000 0.5000 0.1304
H: 0.0000 0.5000 0.8696
H: 0.5000 0.0000 0.1304
H: 0.5000 0.0000 0.8696
I: 0.5000 0.5000 0.5000

***

Record 19
The following is a PBE calculation of a relaxed TaHI3 crystal, from the Alexandria database.

Cell lengths 4.9300, 4.9300, 4.9300 Å; angles 90.00, 90.00, 90.00 degrees
Atoms (fractional coordinates):
Ta: 0.0000 0.0000 0.0000
H: 0.5000 0.5000 0.5000
I: 0.0000 0.5000 0.5000
I: 0.5000 0.0000 0.5000
I: 0.5000 0.5000 0.0000

***

Record 20
The following is a PBE calculation of a relaxed TaTe2HI crystal, from the Alexandria database.

Cell lengths 5.3817, 5.3817, 5.7759 Å; angles 90.00, 90.00, 90.00 degrees
Atoms (fractional coordinates):
Ta: 0.0000 0.0000 0.0000
Te: 0.0000 0.5000 0.0000
Te: 0.5000 0.0000 0.0000
H: 0.5000 0.5000 0.5000
I: 0.0000 0.0000 0.5000

***

Record 21
The following is a PBE calculation of a relaxed TaTe2HI crystal, from the Alexandria database.

Cell lengths 4.4423, 4.4423, 5.5605 Å; angles 90.00, 90.00, 90.00 degrees
Atoms (fractional coordinates):
Ta: 0.0000 0.0000 0.0000
Te: 0.0000 0.5000 0.5000
Te: 0.5000 0.0000 0.5000
H: 0.5000 0.5000 0.5000
I: 0.5000 0.5000 0.0000

***

Record 22
The following is a PBE calculation of a relaxed Tb2HI5 crystal, from the Alexandria database.

Cell lengths 8.1561, 8.1561, 21.1718 Å; angles 90.00, 90.00, 152.97 degrees
Atoms (fractional coordinates):
Tb: 0.2354 0.7646 0.6626
Tb: 0.2354 0.7646 0.8374
Tb: 0.7646 0.2354 0.1626
Tb: 0.7646 0.2354 0.3374
H: 0.2284 0.7716 0.2500
H: 0.7716 0.2284 0.7500
I: 0.1203 0.8797 0.1303
I: 0.1203 0.8797 0.3697
I: 0.3511 0.6489 0.0704
I: 0.3511 0.6489 0.4296
I: 0.4044 0.5956 0.2500
I: 0.5956 0.4044 0.7500
I: 0.6489 0.3511 0.5704
I: 0.6489 0.3511 0.9296
I: 0.8797 0.1203 0.6303
I: 0.8797 0.1203 0.8697

***

Record 23
The following is a PBE calculation of a relaxed Tb2HI crystal, from the Alexandria database.

Cell lengths 3.7544, 3.7544, 22.7715 Å; angles 90.00, 90.00, 120.00 degrees
Atoms (fractional coordinates):
Tb: 0.0000 0.0000 0.2242
Tb: 0.0000 0.0000 0.7758
Tb: 0.3333 0.6667 0.4425
Tb: 0.3333 0.6667 0.8908
Tb: 0.6667 0.3333 0.1092
Tb: 0.6667 0.3333 0.5575
H: 0.0000 0.0000 0.5000
H: 0.3333 0.6667 0.1667
H: 0.6667 0.3333 0.8333
I: 0.0000 0.0000 0.0000
I: 0.3333 0.6667 0.6667
I: 0.6667 0.3333 0.3333

***

Record 24
The following is a PBE calculation of a relaxed Tb3HI7 crystal, from the Alexandria database.

Cell lengths 8.3816, 8.3816, 7.6721 Å; angles 90.00, 90.00, 120.00 degrees
Atoms (fractional coordinates):
Tb: 0.0189 0.5095 0.0000
Tb: 0.4905 0.5095 0.0000
Tb: 0.4905 0.9811 0.0000
H: 0.3333 0.6667 0.9306
I: 0.1646 0.3291 0.2451
I: 0.1646 0.8354 0.2451
I: 0.3300 0.1650 0.7676
I: 0.6667 0.3333 0.2340
I: 0.6709 0.8354 0.2451
I: 0.8350 0.1650 0.7676
I: 0.8350 0.6700 0.7676

***

Record 25
The following is a PBE calculation of a relaxed Tb4HI5 crystal, from the Alexandria database.

Cell lengths 9.5634, 9.5634, 8.7653 Å; angles 102.65, 102.65, 23.91 degrees
Atoms (fractional coordinates):
Tb: 0.0015 0.0015 0.2993
Tb: 0.3703 0.3703 0.4346
Tb: 0.6297 0.6297 0.5654
Tb: 0.9985 0.9985 0.7007
H: 0.5000 0.5000 0.5000
I: 0.1661 0.1661 0.8430
I: 0.1741 0.1741 0.3270
I: 0.5000 0.5000 0.0000
I: 0.8259 0.8259 0.6730
I: 0.8339 0.8339 0.1570

***

Record 26
The following is a PBE calculation of a relaxed TbHI crystal, from the Alexandria database.

Cell lengths 6.8737, 3.9691, 11.2623 Å; angles 90.00, 93.01, 90.00 degrees
Atoms (fractional coordinates):
Tb: 0.1566 0.0000 0.3809
Tb: 0.3434 0.5000 0.6191
Tb: 0.6566 0.5000 0.3809
Tb: 0.8434 0.0000 0.6191
H: 0.1734 0.0000 0.5783
H: 0.3266 0.5000 0.4217
H: 0.6734 0.5000 0.5783
H: 0.8266 0.0000 0.4217
I: 0.0260 0.5000 0.8050
I: 0.4740 0.0000 0.1950
I: 0.5260 0.0000 0.8050
I: 0.9740 0.5000 0.1950

***

Number 1: size of the total moment 0.2645 μB/atom, energy -4.116 eV per atom. Number 2: size of the total moment 0.5165 μB/atom, energy -2.374 eV per atom. Number 3: size of the total moment 0.2105 μB/atom, energy -2.768 eV per atom. Number 4: size of the total moment 0.2212 μB/atom, energy -4.666 eV per atom. Number 5: size of the total moment 0.0000 μB/atom, energy -6.496 eV per atom. Number 6: size of the total moment 0.2009 μB/atom, energy -3.174 eV per atom. Number 7: size of the total moment 0.0000 μB/atom, energy -3.709 eV per atom. Number 8: size of the total moment 0.0000 μB/atom, energy -4.188 eV per atom. Number 9: size of the total moment 0.0000 μB/atom, energy -5.808 eV per atom. Number 10: size of the total moment 0.2508 μB/atom, energy -3.031 eV per atom. Number 11: size of the total moment 0.0000 μB/atom, energy -3.256 eV per atom. Number 12: size of the total moment 0.0000 μB/atom, energy -3.359 eV per atom. Number 13: size of the total moment 0.0000 μB/atom, energy -2.897 eV per atom. Number 14: size of the total moment 0.0000 μB/atom, energy -4.646 eV per atom. Number 15: size of the total moment 0.0000 μB/atom, energy -3.358 eV per atom. Number 16: size of the total moment 0.0000 μB/atom, energy -7.380 eV per atom. Number 17: size of the total moment 0.1937 μB/atom, energy -3.475 eV per atom. Number 18: size of the total moment 0.0266 μB/atom, energy -4.299 eV per atom. Number 19: size of the total moment 0.4507 μB/atom, energy -2.736 eV per atom. Number 20: size of the total moment 0.1985 μB/atom, energy -4.110 eV per atom. Number 21: size of the total moment 0.4749 μB/atom, energy -3.648 eV per atom. Number 22: size of the total moment 0.0000 μB/atom, energy -3.504 eV per atom. Number 23: size of the total moment 0.0000 μB/atom, energy -4.085 eV per atom. Number 24: size of the total moment 0.0926 μB/atom, energy -3.725 eV per atom. Number 25: size of the total moment 0.0000 μB/atom, energy -3.914 eV per atom. Number 26: size of the total moment 0.0000 μB/atom, energy -4.202 eV per atom.